Record 1
VASP calculation (GGA-PBEsol) on crystalline CsCuPtSe2 at its relaxed geometry.

Cell and atoms, written as POSCAR:
```
CsCuPtSe2
1.0
4.709 0.000 0.000
0.000 4.709 0.000
0.000 0.000 5.505
Cs Cu Pt Se
1 1 1 2
direct
0.000 0.000 0.000
0.000 0.000 0.500
0.500 0.500 0.000
0.000 0.500 0.500
0.500 0.000 0.500
```

Symmetry = P4/mmm
Formation energy from raw total energies = 0.661 eV/atom
Crystal system = tetragonal


Record 2
VASP calculation (GGA-PBEsol) on crystalline Cs2RbCu2 at its relaxed geometry.

Cell and atoms, written as POSCAR:
```
Cs2RbCu2
1.0
-2.702 2.702 7.090
2.702 -2.702 7.090
2.702 2.702 -7.090
Cs Rb Cu
2 1 2
direct
0.250 0.750 0.500
0.750 0.250 0.500
0.000 0.000 0.000
0.416 0.416 0.000
0.584 0.584 0.000
```

Symmetry = I4/mmm
Energy relative to the elements = 0.51 eV/atom
Crystal system = tetragonal


Record 3
VASP calculation (GGA-PBEsol) on crystalline CsRb2SrCu at its relaxed geometry.

Cell and atoms, written as POSCAR:
```
CsRb2SrCu
1.0
7.590 0.000 0.000
0.000 7.590 0.000
0.000 0.000 5.865
Cs Rb Sr Cu
1 2 1 1
direct
0.000 0.000 0.000
0.000 0.500 0.000
0.500 0.000 0.000
0.500 0.500 0.500
0.000 0.000 0.500
```

Symmetry = P4/mmm
Energy relative to the elements = 0.68 eV/atom
Crystal system = tetragonal


Record 4
VASP calculation (GGA-PBEsol) on crystalline Cs3CuRu at its relaxed geometry.

Cell and atoms, written as POSCAR:
```
Cs3CuRu
1.0
6.335 0.000 0.000
0.000 6.335 0.000
0.000 0.000 6.335
Cs Cu Ru
3 1 1
direct
0.000 0.000 0.500
0.000 0.500 0.000
0.500 0.000 0.000
0.000 0.000 0.000
0.500 0.500 0.500
```

Symmetry = Pm-3m
Energy relative to the elements = 1.35 eV/atom
Crystal system = cubic


Record 5
VASP calculation (GGA-PBEsol) on crystalline CsCu2SbRu at its relaxed geometry.

Cell and atoms, written as POSCAR:
```
CsCu2SbRu
1.0
4.923 0.000 0.000
0.000 4.923 0.000
0.000 0.000 4.947
Cs Cu Sb Ru
1 2 1 1
direct
0.000 0.000 0.000
0.000 0.500 0.000
0.500 0.000 0.000
0.500 0.500 0.500
0.000 0.000 0.500
```

Symmetry = P4/mmm
Formation energy from raw total energies = 2.122 eV/atom
Crystal system = tetragonal


Record 6
VASP calculation (GGA-PBEsol) on crystalline CsCuTeS3 at its relaxed geometry.

Cell and atoms, written as POSCAR:
```
CsCuTeS3
1.0
9.004 0.000 0.000
0.000 9.004 0.000
0.000 0.000 9.004
Cs Cu Te S
4 4 4 12
direct
0.082 0.418 0.582
0.418 0.582 0.082
0.582 0.082 0.418
0.918 0.918 0.918
0.145 0.145 0.145
0.355 0.855 0.645
0.645 0.355 0.855
0.855 0.645 0.355
0.071 0.929 0.429
0.429 0.071 0.929
0.571 0.571 0.571
0.929 0.429 0.071
0.036 0.640 0.190
0.140 0.310 0.964
0.190 0.036 0.640
0.310 0.964 0.140
0.360 0.690 0.464
0.464 0.360 0.690
0.536 0.860 0.810
0.640 0.190 0.036
0.690 0.464 0.360
0.810 0.536 0.860
0.860 0.810 0.536
0.964 0.140 0.310
```

Symmetry = P2_13
Formation energy from raw total energies = -0.466 eV/atom
Crystal system = cubic


Record 7
VASP calculation (GGA-PBEsol) on crystalline CsCuSbTe2 at its relaxed geometry.

Cell and atoms, written as POSCAR:
```
CsCuSbTe2
1.0
6.114 0.000 0.000
0.000 6.114 0.000
0.000 0.000 6.176
Cs Cu Sb Te
1 1 1 2
direct
0.000 0.000 0.000
0.500 0.500 0.500
0.000 0.000 0.500
0.000 0.500 0.000
0.500 0.000 0.000
```

Symmetry = P4/mmm
Formation energy from raw total energies = 1.692 eV/atom
Crystal system = tetragonal


Record 8
VASP calculation (GGA-PBEsol) on crystalline CsSc3Cu at its relaxed geometry.

Cell and atoms, written as POSCAR:
```
CsSc3Cu
1.0
5.164 0.000 0.000
0.000 5.164 0.000
0.000 0.000 5.164
Cs Sc Cu
1 3 1
direct
0.000 0.000 0.000
0.000 0.500 0.500
0.500 0.000 0.500
0.500 0.500 0.000
0.500 0.500 0.500
```

Symmetry = Pm-3m
Energy relative to the elements = 0.47 eV/atom
Crystal system = cubic


Here are the calculated size of the total moment numbers, same order: 0.001, 0.000, 0.000, 0.403, 0.001, 0.000, 0.075, 0.000 (μB/atom).
Here are the calculated calculated total energy numbers, same order: -16.6, -9.0, -5.8, -10.6, -13.7, -99.0, -8.4, -22.7 (eV for the cell shown).